Entry 1:
Material: LaB2Rh2C
Method: DFT, GGA-PBEsol
State: relaxed

For the total moment, the calculation gives 0.00 μB/f.u. The calculation puts the density of states at the Fermi level at 0.3981 states/eV/atom. As for the total DFT energy (no corrections): -49.0 eV per cell. Its energy of formation is -0.61 eV/atom. Its symmetry is I4/mmm.

Geometry as POSCAR:
```
LaB2Rh2C
1.0
-1.417 -1.791 -3.101
-1.028 -2.991 2.197
-3.349 4.572 1.281
Rh La B C
2 1 2 1
direct
0.250 0.750 0.500
0.750 0.250 0.500
0.500 0.500 0.000
0.147 0.147 0.293
0.853 0.853 0.707
0.000 0.000 0.000
```



Entry 2:
Material: Ba2TaTl
Method: DFT, GGA-PBEsol
State: relaxed

For the total moment, the calculation gives 0.04 μB/f.u. The distance to the lowest polymorph of the same formula comes out at 0.045 eV per atom. The calculation puts the density of states at the Fermi level at 1.4110 states/eV/atom. As for the total DFT energy (no corrections): -16.6 eV per cell. Its energy of formation is 0.72 eV/atom. Its symmetry is Cmmm.

Geometry as POSCAR:
```
Ba2TaTl
1.0
3.454 0.000 0.000
0.000 6.043 0.089
0.000 -0.096 6.043
Ba Tl Ta
2 1 1
direct
0.000 0.500 0.000
0.000 0.000 0.500
0.500 0.500 0.500
0.500 0.000 0.000
```



Entry 3:
Material: BaCa3Mg
Method: DFT, GGA-PBEsol
State: relaxed

For the total moment, the calculation gives 0.00 μB/f.u. The calculation puts the density of states at the Fermi level at 1.1462 states/eV/atom. As for the total DFT energy (no corrections): -5.8 eV per cell. Its energy of formation is 0.90 eV/atom. Its symmetry is Pm-3m.

Geometry as POSCAR:
```
BaCa3Mg
1.0
-2.865 4.854 -1.284
-1.380 0.660 5.575
4.827 3.070 0.832
Mg Ca Ba
1 3 1
direct
0.500 0.500 0.500
0.500 0.000 0.000
0.000 0.000 0.500
0.000 0.500 0.000
0.000 0.000 0.000
```



Entry 4:
Material: TaTc2Ag
Method: DFT, GGA-PBEsol
State: relaxed

For the total moment, the calculation gives 0.00 μB/f.u. The distance to the lowest polymorph of the same formula comes out at 0.154 eV per atom. The calculation puts the density of states at the Fermi level at 0.8598 states/eV/atom. As for the total DFT energy (no corrections): -37.0 eV per cell. Its energy of formation is 0.35 eV/atom. Its symmetry is P4/mmm.

Geometry as POSCAR:
```
TaTc2Ag
1.0
2.642 0.000 0.000
0.000 2.642 0.000
0.000 0.000 8.910
Tc Ag Ta
2 1 1
direct
0.000 0.000 0.751
0.000 0.000 0.249
0.500 0.500 0.000
0.500 0.500 0.500
```



Entry 5:
Material: ScMoAu2
Method: DFT, GGA-PBEsol
State: relaxed

For the total moment, the calculation gives 0.01 μB/f.u. The distance to the lowest polymorph of the same formula comes out at 0.000 eV per atom. The calculation puts the density of states at the Fermi level at 1.0593 states/eV/atom. As for the total DFT energy (no corrections): -27.0 eV per cell. Its energy of formation is -0.19 eV/atom. Its symmetry is Cmmm.

Geometry as POSCAR:
```
ScMoAu2
1.0
-0.805 -2.102 1.849
4.434 -2.155 -0.520
0.115 3.249 3.743
Sc Mo Au
1 1 2
direct
0.500 0.000 0.000
0.500 0.500 0.500
0.000 0.500 0.000
0.000 0.000 0.500
```



Entry 6:
Material: FeNi2Ir
Method: DFT, GGA-PBEsol
State: relaxed

For the total moment, the calculation gives 4.37 μB/f.u. The calculation puts the density of states at the Fermi level at 1.2249 states/eV/atom. As for the total DFT energy (no corrections): -31.1 eV per cell. Its energy of formation is -0.01 eV/atom. Its symmetry is Cmmm.

Geometry as POSCAR:
```
FeNi2Ir
1.0
-1.838 -0.243 -1.788
-0.768 -4.117 1.348
-2.554 2.789 2.248
Ni Fe Ir
2 1 1
direct
0.000 0.000 0.500
0.000 0.500 0.000
0.500 0.000 0.000
0.500 0.500 0.500
```



Entry 7:
Material: MnP2O7
Method: DFT, GGA-PBEsol
State: relaxed

For the total moment, the calculation gives 3.00 μB/f.u. The distance to the lowest polymorph of the same formula comes out at 0.000 eV per atom. As for the total DFT energy (no corrections): -156.0 eV per cell. The formation energy (no corrections) comes out at -1.99 eV/atom. Its symmetry is P-1.

Geometry as POSCAR:
```
MnP2O7
1.0
-4.166 -2.091 1.424
-0.605 -3.043 -5.811
3.523 -7.365 -0.039
O P Mn
14 4 2
direct
0.836 0.718 0.504
0.054 0.952 0.795
0.918 0.354 0.767
0.714 0.668 0.817
0.670 0.840 0.032
0.441 0.935 0.290
0.286 0.332 0.183
0.082 0.646 0.233
0.330 0.160 0.968
0.568 0.517 0.332
0.559 0.065 0.710
0.432 0.483 0.668
0.164 0.282 0.496
0.946 0.048 0.205
0.727 0.550 0.679
0.248 0.105 0.160
0.273 0.450 0.321
0.752 0.895 0.840
0.243 0.218 0.735
0.757 0.782 0.265
```



Entry 8:
Material: PCl2
Method: DFT, GGA-PBEsol
State: relaxed

For the total moment, the calculation gives 0.00 μB/f.u. As for the total DFT energy (no corrections): -21.1 eV per cell. The formation energy (no corrections) comes out at -0.25 eV/atom. Its symmetry is C2/m.

Geometry as POSCAR:
```
PCl2
1.0
-0.724 -2.703 -1.918
2.432 -4.081 4.831
-6.156 2.347 2.018
Cl P
4 2
direct
0.897 0.209 0.794
0.156 0.265 0.311
0.103 0.791 0.206
0.844 0.735 0.689
0.523 0.203 0.046
0.477 0.797 0.954
```



Entry 9:
Material: ZrIn2Ir
Method: DFT, GGA-PBEsol
State: relaxed

For the total moment, the calculation gives 0.00 μB/f.u. The calculation puts the density of states at the Fermi level at 0.5462 states/eV/atom. As for the total DFT energy (no corrections): -26.0 eV per cell. Its energy of formation is -0.27 eV/atom. Its symmetry is I-4m2.

Geometry as POSCAR:
```
ZrIn2Ir
1.0
-1.069 2.251 3.447
-3.915 -1.658 -0.132
3.734 -3.423 0.769
In Ir Zr
2 1 1
direct
0.750 0.250 0.500
0.000 0.000 0.000
0.500 0.500 0.000
0.250 0.750 0.500
```



Entry 10:
Material: Nb2CrCdBr
Method: DFT, GGA-PBEsol
State: relaxed

For the total moment, the calculation gives 0.44 μB/f.u. The calculation puts the density of states at the Fermi level at 1.2149 states/eV/atom. As for the total DFT energy (no corrections): -25.4 eV per cell. The formation energy (no corrections) comes out at 1.92 eV/atom. Its symmetry is P4/mmm.

Geometry as POSCAR:
```
Nb2CrCdBr
1.0
4.872 0.000 0.000
0.000 5.147 0.000
0.000 0.000 5.147
Cr Cd Br Nb
1 1 1 2
direct
0.500 0.000 0.000
0.000 0.000 0.000
0.500 0.500 0.500
0.000 0.500 0.000
0.000 0.000 0.500
```



Entry 11:
Material: CaCd2P2
Method: DFT, GGA-PBEsol
State: relaxed

For the total moment, the calculation gives 0.00 μB/f.u. The distance to the lowest polymorph of the same formula comes out at 0.397 eV per atom. The calculation puts the density of states at the Fermi level at 0.4553 states/eV/atom. As for the total DFT energy (no corrections): -17.0 eV per cell. Its energy of formation is -0.18 eV/atom. Its symmetry is I4/mmm.

Geometry as POSCAR:
```
CaCd2P2
1.0
4.817 0.000 0.000
0.000 4.817 0.000
-2.408 -2.408 4.726
Ca P Cd
1 2 2
direct
0.000 0.000 0.000
0.750 0.250 0.500
0.250 0.750 0.500
0.642 0.642 0.283
0.358 0.358 0.717
```



Entry 12:
Material: Rb3HfTe
Method: DFT, GGA-PBEsol
State: relaxed

For the total moment, the calculation gives 3.01 μB/f.u. The calculation puts the density of states at the Fermi level at 2.1004 states/eV/atom. As for the total DFT energy (no corrections): -13.6 eV per cell. The formation energy (no corrections) comes out at 0.69 eV/atom. Its symmetry is Pm-3m.

Geometry as POSCAR:
```
Rb3HfTe
1.0
6.803 0.000 0.000
0.000 6.803 0.000
0.000 0.000 6.803
Rb Hf Te
3 1 1
direct
0.000 0.000 0.500
0.000 0.500 0.000
0.500 0.000 0.000
0.500 0.500 0.500
0.000 0.000 0.000
```



Question: Among the records above, which one has the lowest total DFT energy (no corrections)?
Answer: MnP2O7



Question: Which of these has the lowest total DFT energy (no corrections)?
Answer: MnP2O7